No. 1
This record from the Alexandria database describes a relaxed structure of Pr2SmDy2Y2. The functional is PBE.

Output
The theoretical density is 6.56 g/cm³. The density of states at the Fermi level comes out at 12.17 states/eV per cell. The calculation puts the volume at 33.82 Å³/atom. For the formation energy, the calculation gives 0.1168 eV/atom. The value obtained for the total energy is -5.085 eV per atom.

Lattice parameters (Å, degrees): 8.9275 8.9275 8.8986 119.50 119.50 22.71
With the nearest neighbours (Å) after each atom.
Fractional coordinates of all 7 atoms:
Pr 0.1519 0.1519 0.4444  2 Y 3.38-3.46, 3 Dy 3.50-3.62, 4 Pr 3.51-3.53
Pr 0.8481 0.8481 0.5556  2 Y 3.38-3.46, 3 Dy 3.50-3.62, 4 Pr 3.51-3.53
Sm 0.5000 0.5000 0.0000  2 Sm 3.51, 4 Y 3.67, 4 Pr 3.90, 4 Dy 3.92
Dy 0.2269 0.2269 0.1463  3 Y 3.35-3.61, 3 Pr 3.50-3.62, 4 Dy 3.51-3.56
Dy 0.7731 0.7731 0.8537  3 Y 3.35-3.61, 3 Pr 3.50-3.62, 4 Dy 3.51-3.56
Y 0.0697 0.0697 0.7266  3 Dy 3.35-3.61, 2 Pr 3.38-3.46, 3 Y 3.51, 2 Sm 3.67
Y 0.9303 0.9303 0.2734  3 Dy 3.35-3.61, 2 Pr 3.38-3.46, 3 Y 3.51, 2 Sm 3.67

=====

No. 2
This record from the Alexandria database describes a relaxed structure of Pr2SmDy2Y4. The functional is PBE.

Output
The theoretical density is 6.20 g/cm³. The density of states at the Fermi level comes out at 12.73 states/eV per cell. The calculation puts the volume at 33.12 Å³/atom. For the formation energy, the calculation gives -0.0050 eV/atom. The value obtained for the total energy is -5.487 eV per atom.

Lattice parameters (Å, degrees): 9.6042 9.6042 9.6509 115.22 115.22 21.82
With the nearest neighbours (Å) after each atom.
Fractional coordinates of all 9 atoms:
Pr 0.1659 0.1659 0.4980  3 Y 3.58-3.61, 3 Dy 3.59-3.62, 2 Sm 3.63, 4 Pr 3.64
Pr 0.8341 0.8341 0.5020  3 Y 3.58-3.61, 3 Dy 3.59-3.62, 2 Sm 3.63, 4 Pr 3.64
Sm 0.5000 0.5000 0.5000  6 Y 3.60, 4 Pr 3.63, 2 Sm 3.64
Dy 0.3525 0.3525 0.8371  7 Y 3.53-3.64, 3 Pr 3.59-3.62, 2 Dy 3.64
Dy 0.6475 0.6475 0.1629  7 Y 3.53-3.64, 3 Pr 3.59-3.62, 2 Dy 3.64
Y 0.0195 0.0195 0.8364  4 Dy 3.53-3.64, 5 Y 3.54-3.64, 1 Pr 3.58, 2 Sm 3.60
Y 0.3140 0.3140 0.1640  3 Dy 3.53-3.62, 6 Y 3.54-3.64, 1 Sm 3.60, 2 Pr 3.61
Y 0.6860 0.6860 0.8360  3 Dy 3.53-3.62, 6 Y 3.54-3.64, 1 Sm 3.60, 2 Pr 3.61
Y 0.9805 0.9805 0.1636  4 Dy 3.53-3.64, 5 Y 3.54-3.64, 1 Pr 3.58, 2 Sm 3.60

=====

No. 3
This record from the Alexandria database describes a relaxed structure of PrSm2DyY2. The functional is PBE.

Output
The theoretical density is 6.38 g/cm³. The density of states at the Fermi level comes out at 19.10 states/eV per cell. The calculation puts the volume at 33.92 Å³/atom. For the formation energy, the calculation gives 0.2559 eV/atom. The value obtained for the total energy is -5.035 eV per atom.

Lattice parameters (Å, degrees): 6.6346 17.8914 3.4294 90.00 90.00 90.00
With the nearest neighbours (Å) after each atom.
Fractional coordinates of all 12 atoms:
Pr 0.0000 0.0000 0.0000  2 Sm 3.24, 2 Pr 3.43, 2 Y 3.60
Pr 0.5000 0.5000 0.5000  2 Sm 3.24, 2 Pr 3.43, 2 Y 3.60
Sm 0.2211 0.3511 0.5000  1 Pr 3.24, 4 Y 3.35-3.46, 2 Sm 3.43, 2 Dy 3.49
Sm 0.2789 0.8511 0.0000  1 Pr 3.24, 4 Y 3.35-3.46, 2 Sm 3.43, 2 Dy 3.49
Sm 0.7211 0.1489 0.0000  1 Pr 3.24, 4 Y 3.35-3.46, 2 Sm 3.43, 2 Dy 3.49
Sm 0.7789 0.6489 0.5000  1 Pr 3.24, 4 Y 3.35-3.46, 2 Sm 3.43, 2 Dy 3.49
Dy 0.0000 0.5000 0.0000  2 Dy 3.43, 4 Sm 3.49, 4 Pr 3.73
Dy 0.5000 0.0000 0.5000  2 Dy 3.43, 4 Sm 3.49, 4 Pr 3.73
Y 0.2246 0.1832 0.0000  4 Sm 3.35-3.46, 2 Y 3.43, 1 Pr 3.60
Y 0.2754 0.6832 0.5000  4 Sm 3.35-3.46, 2 Y 3.43, 1 Pr 3.60
Y 0.7246 0.3168 0.5000  4 Sm 3.35-3.46, 2 Y 3.43, 1 Pr 3.60
Y 0.7754 0.8168 0.0000  4 Sm 3.35-3.46, 2 Y 3.43, 1 Pr 3.60

=====

No. 4
This record from the Alexandria database describes a relaxed structure of PrSmDyY. The functional is PBE.

Output
The theoretical density is 6.69 g/cm³. The density of states at the Fermi level comes out at 7.95 states/eV per cell. The calculation puts the volume at 33.69 Å³/atom. For the formation energy, the calculation gives 0.1142 eV/atom. The energy above the most stable polymorph in this dataset is 95 meV per atom. The value obtained for the total energy is -5.027 eV per atom.

Lattice parameters (Å, degrees): 5.7545 5.7545 5.7545 60.00 60.00 60.00
With the nearest neighbours (Å) after each atom.
Fractional coordinates of all 4 atoms:
Pr 0.0000 0.0000 0.0000  4 Dy 3.52, 4 Y 3.52
Sm 0.5000 0.5000 0.5000  4 Dy 3.52, 4 Y 3.52
Dy 0.7500 0.7500 0.7500  4 Sm 3.52, 4 Pr 3.52
Y 0.2500 0.2500 0.2500  4 Pr 3.52, 4 Sm 3.52

=====

No. 5
This record from the Alexandria database describes a relaxed structure of Pr4SmDy2Y2. The functional is PBE.

Output
The theoretical density is 6.61 g/cm³. The density of states at the Fermi level comes out at 13.56 states/eV per cell. The calculation puts the volume at 33.98 Å³/atom. For the formation energy, the calculation gives 0.0179 eV/atom. The value obtained for the total energy is -5.090 eV per atom.

Lattice parameters (Å, degrees): 8.1405 8.1405 8.1211 107.36 107.36 36.77
With the nearest neighbours (Å) after each atom.
Fractional coordinates of all 9 atoms:
Pr 0.0540 0.0540 0.3324  4 Pr 3.61-3.66, 4 Dy 3.62-3.65, 2 Sm 3.63, 2 Y 3.63-3.66
Pr 0.2770 0.2770 0.6669  3 Y 3.61-3.63, 3 Dy 3.63-3.66, 5 Pr 3.64-3.66, 1 Sm 3.65
Pr 0.7230 0.7230 0.3331  3 Y 3.61-3.63, 3 Dy 3.63-3.66, 5 Pr 3.64-3.66, 1 Sm 3.65
Pr 0.9460 0.9460 0.6676  4 Pr 3.61-3.66, 4 Dy 3.62-3.65, 2 Sm 3.63, 2 Y 3.63-3.66
Sm 0.5000 0.5000 0.0000  2 Dy 3.62, 6 Pr 3.63-3.65, 4 Y 3.65
Dy 0.3890 0.3890 0.3319  7 Pr 3.62-3.66, 1 Sm 3.62, 3 Y 3.62-3.63, 1 Dy 3.65
Dy 0.6110 0.6110 0.6681  7 Pr 3.62-3.66, 1 Sm 3.62, 3 Y 3.62-3.63, 1 Dy 3.65
Y 0.1675 0.1675 0.9993  5 Pr 3.61-3.66, 2 Y 3.62, 3 Dy 3.62-3.63, 2 Sm 3.65
Y 0.8325 0.8325 0.0007  5 Pr 3.61-3.66, 2 Y 3.62, 3 Dy 3.62-3.63, 2 Sm 3.65

=====

No. 6
This record from the Alexandria database describes a relaxed structure of Pr3Sm3DyZn2. The functional is PBE.

Output
The theoretical density is 7.11 g/cm³. The density of states at the Fermi level comes out at 13.16 states/eV per cell. The calculation puts the volume at 30.28 Å³/atom. For the formation energy, the calculation gives -0.0137 eV/atom. The value obtained for the total energy is -3.974 eV per atom.

Lattice parameters (Å, degrees): 9.2471 9.2471 3.6804 90.00 90.00 120.00
With the nearest neighbours (Å) after each atom.
Fractional coordinates of all 9 atoms:
Pr 0.0000 0.3133 0.0000  2 Zn 3.18, 2 Sm 3.41, 2 Dy 3.43
Pr 0.3133 0.0000 0.0000  2 Zn 3.18, 2 Sm 3.41, 2 Dy 3.43
Pr 0.6867 0.6867 0.0000  2 Zn 3.18, 2 Sm 3.41, 2 Dy 3.43
Sm 0.0000 0.6238 0.5000  6 Pr 3.41-3.72, 4 Zn 3.44, 1 Dy 3.48, 2 Sm 3.68
Sm 0.3762 0.3762 0.5000  6 Pr 3.41-3.72, 4 Zn 3.44, 1 Dy 3.48, 2 Sm 3.68
Sm 0.6238 0.0000 0.5000  6 Pr 3.41-3.72, 4 Zn 3.44, 1 Dy 3.48, 2 Sm 3.68
Dy 0.0000 0.0000 0.5000  6 Pr 3.43, 3 Sm 3.48, 2 Dy 3.68
Zn 0.3333 0.6667 0.0000  3 Pr 3.18, 6 Sm 3.44
Zn 0.6667 0.3333 0.0000  3 Pr 3.18, 6 Sm 3.44

=====

No. 7
This record from the Alexandria database describes a relaxed structure of PrSmDyZr. The functional is PBE.

Output
The theoretical density is 7.39 g/cm³. The density of states at the Fermi level comes out at 8.72 states/eV per cell. The calculation puts the volume at 30.62 Å³/atom. For the formation energy, the calculation gives 0.2496 eV/atom. The value obtained for the total energy is -5.413 eV per atom.

Lattice parameters (Å, degrees): 5.5745 5.5745 5.5745 60.00 60.00 60.00
With the nearest neighbours (Å) after each atom.
Fractional coordinates of all 4 atoms:
Pr 0.0000 0.0000 0.0000  4 Sm 3.41, 4 Dy 3.41
Sm 0.7500 0.7500 0.7500  4 Zr 3.41, 4 Pr 3.41
Dy 0.2500 0.2500 0.2500  4 Zr 3.41, 4 Pr 3.41
Zr 0.5000 0.5000 0.5000  4 Sm 3.41, 4 Dy 3.41

=====

No. 8
This record from the Alexandria database describes a relaxed structure of PrDy2Sn9. The functional is PBE.

Output
The theoretical density is 7.97 g/cm³. The density of states at the Fermi level comes out at 7.82 states/eV per cell. The calculation puts the volume at 26.64 Å³/atom. For the formation energy, the calculation gives -0.4487 eV/atom. The value obtained for the total energy is -4.616 eV per atom.

Lattice parameters (Å, degrees): 4.7189 4.7189 14.3553 90.00 90.00 90.00
With the nearest neighbours (Å) after each atom.
Fractional coordinates of all 12 atoms:
Pr 0.0000 0.0000 0.0000  12 Sn 3.34-3.41
Dy 0.0000 0.0000 0.3341  12 Sn 3.32-3.35
Dy 0.0000 0.0000 0.6659  12 Sn 3.32-3.35
Sn 0.0000 0.5000 0.1715  2 Dy 3.32, 8 Sn 3.34-3.41, 2 Pr 3.41
Sn 0.0000 0.5000 0.5000  8 Sn 3.33-3.34, 4 Dy 3.35
Sn 0.0000 0.5000 0.8285  2 Dy 3.32, 8 Sn 3.34-3.41, 2 Pr 3.41
Sn 0.5000 0.0000 0.1715  2 Dy 3.32, 8 Sn 3.34-3.41, 2 Pr 3.41
Sn 0.5000 0.0000 0.5000  8 Sn 3.33-3.34, 4 Dy 3.35
Sn 0.5000 0.0000 0.8285  2 Dy 3.32, 8 Sn 3.34-3.41, 2 Pr 3.41
Sn 0.5000 0.5000 0.0000  4 Pr 3.34, 8 Sn 3.41
Sn 0.5000 0.5000 0.3360  8 Sn 3.33-3.34, 4 Dy 3.34
Sn 0.5000 0.5000 0.6640  8 Sn 3.33-3.34, 4 Dy 3.34

=====

No. 9
This record from the Alexandria database describes a relaxed structure of PrDySn. The functional is PBE.

Output
The theoretical density is 7.18 g/cm³. The density of states at the Fermi level comes out at 9.14 states/eV per cell. The calculation puts the volume at 32.55 Å³/atom. For the formation energy, the calculation gives -0.1913 eV/atom. The energy above the most stable polymorph in this dataset is 425 meV per atom. The value obtained for the total energy is -4.653 eV per atom.

Lattice parameters (Å, degrees): 4.4107 4.4107 10.0379 90.00 90.00 90.00
With the nearest neighbours (Å) after each atom.
Fractional coordinates of all 6 atoms:
Pr 0.2500 0.2500 0.2112  5 Sn 3.15-3.30
Pr 0.7500 0.7500 0.7888  5 Sn 3.15-3.30
Dy 0.2500 0.2500 0.5935  1 Sn 3.05
Dy 0.7500 0.7500 0.4065  1 Sn 3.05
Sn 0.2500 0.2500 0.8978  1 Dy 3.05, 5 Pr 3.15-3.30
Sn 0.7500 0.7500 0.1022  1 Dy 3.05, 5 Pr 3.15-3.30

=====

No. 10
This record from the Alexandria database describes a relaxed structure of Pr9DySn2. The functional is PBE.

Output
The theoretical density is 7.11 g/cm³. The density of states at the Fermi level comes out at 11.98 states/eV per cell. The calculation puts the volume at 32.48 Å³/atom. For the formation energy, the calculation gives -0.2804 eV/atom. The value obtained for the total energy is -4.916 eV per atom.

Lattice parameters (Å, degrees): 5.0236 5.0236 15.4449 90.00 90.00 90.00
With the nearest neighbours (Å) after each atom.
Fractional coordinates of all 12 atoms:
Pr 0.0000 0.0000 0.0000  4 Dy 3.55, 8 Pr 3.69
Pr 0.0000 0.0000 0.3388  8 Pr 3.54-3.56, 4 Sn 3.55
Pr 0.0000 0.0000 0.6612  8 Pr 3.54-3.56, 4 Sn 3.55
Pr 0.0000 0.5000 0.1753  2 Sn 3.55, 8 Pr 3.55-3.69, 2 Dy 3.69
Pr 0.0000 0.5000 0.5000  8 Pr 3.54-3.55, 4 Sn 3.55
Pr 0.0000 0.5000 0.8247  2 Sn 3.55, 8 Pr 3.55-3.69, 2 Dy 3.69
Pr 0.5000 0.0000 0.1753  2 Sn 3.55, 8 Pr 3.55-3.69, 2 Dy 3.69
Pr 0.5000 0.0000 0.5000  8 Pr 3.54-3.55, 4 Sn 3.55
Pr 0.5000 0.0000 0.8247  2 Sn 3.55, 8 Pr 3.55-3.69, 2 Dy 3.69
Dy 0.5000 0.5000 0.0000  12 Pr 3.55-3.69
Sn 0.5000 0.5000 0.3376  12 Pr 3.55
Sn 0.5000 0.5000 0.6624  12 Pr 3.55

=====

No. 11
This record from the Alexandria database describes a relaxed structure of Pr5Dy2Sn5. The functional is PBE.

Output
The theoretical density is 6.56 g/cm³. The density of states at the Fermi level comes out at 7.60 states/eV per cell. The calculation puts the volume at 34.22 Å³/atom. For the formation energy, the calculation gives -0.5514 eV/atom. The value obtained for the total energy is -4.978 eV per atom.

Lattice parameters (Å, degrees): 7.8672 7.8672 12.9348 109.32 109.32 33.13
With the nearest neighbours (Å) after each atom.
Fractional coordinates of all 12 atoms:
Pr 0.0000 0.0000 0.0000  4 Sn 3.19
Pr 0.1608 0.1608 0.5413  5 Sn 3.21-3.41
Pr 0.2274 0.2274 0.8438  5 Sn 3.11-3.34
Pr 0.7726 0.7726 0.1562  5 Sn 3.11-3.34
Pr 0.8392 0.8392 0.4587  5 Sn 3.21-3.41
Dy 0.4507 0.4507 0.7125  4 Sn 3.00-3.08
Dy 0.5493 0.5493 0.2875  4 Sn 3.00-3.08
Sn 0.1905 0.1905 0.2920  2 Dy 3.08, 5 Pr 3.34-3.41
Sn 0.3846 0.3846 0.0753  1 Dy 3.00, 5 Pr 3.11-3.19
Sn 0.5000 0.5000 0.5000  2 Dy 3.08, 4 Pr 3.21
Sn 0.6154 0.6154 0.9247  1 Dy 3.00, 5 Pr 3.11-3.19
Sn 0.8095 0.8095 0.7080  2 Dy 3.08, 5 Pr 3.34-3.41